(1)
{
  "formula": "SrReBiO2",
  "functional": "GGA-PBE",
  "state": "relaxed",
  "space_group": "P4/mmm",
  "magmom_total_mub_per_atom": 0.2383,
  "formation_energy_uncorrected_ev_per_atom": -0.162,
  "volume_a3_per_atom": 22.8,
  "density_kg_m3": 7503,
  "energy_ev_per_atom": -5.75,
  "lattice_angstrom": [[4.0559, 0.0000, 0.0000], [0.0000, 6.9257, 0.0000], [0.0000, 0.0000, 4.0559]],
  "species": ["Sr", "Bi", "O", "O", "Re"],
  "fractional_positions": [[0.0000, 0.5000, 0.0000], [0.5000, 0.5000, 0.5000], [0.5000, 0.0000, 0.0000], [0.0000, 0.0000, 0.5000], [0.0000, 0.0000, 0.0000]]
}


(2)
{
  "formula": "Pr4Dy7Th",
  "functional": "GGA-PBE",
  "state": "relaxed",
  "space_group": "P-1",
  "e_above_lowest_polymorph_kcal_per_mol_atoms": 0.00,
  "magmom_total_mub_per_atom": 0.0000,
  "volume_a3_per_atom": 33.0,
  "density_kg_m3": 8100,
  "ef_mev_per_atom": 22.3,
  "energy_ev_per_atom": -4.87,
  "lattice_angstrom": [[6.2982, -0.1347, 3.4497], [2.4518, 6.9331, 3.2995], [4.0351, -0.2590, 11.1701]],
  "species": ["Dy", "Dy", "Dy", "Dy", "Dy", "Dy", "Dy", "Pr", "Pr", "Pr", "Pr", "Th"],
  "fractional_positions": [[0.7541, 0.1636, 0.3281], [0.7528, 0.4954, 0.9996], [0.2472, 0.5046, 0.0004], [0.0009, 0.6718, 0.3286], [0.9991, 0.3282, 0.6714], [0.2459, 0.8364, 0.6719], [0.5000, 0.0000, 0.0000], [0.5063, 0.6695, 0.3299], [0.4937, 0.3305, 0.6701], [0.7406, 0.8329, 0.6712], [0.2594, 0.1671, 0.3288], [0.0000, 0.0000, 0.0000]]
}


(3)
{
  "formula": "Cu2PSe",
  "functional": "GGA-PBE",
  "state": "relaxed",
  "space_group": "Imm2",
  "magmom_total_mub_per_atom": 0.0000,
  "formation_energy_uncorrected_ev_per_atom": 0.196,
  "volume_a3_per_atom": 15.6,
  "density_kg_m3": 6290,
  "energy_ev_per_atom": -4.08,
  "lattice_angstrom": [[5.8365, 0.0421, -0.0202], [3.7776, 4.4493, 0.0202], [-4.7159, -2.4410, 2.4227]],
  "species": ["Cu", "Cu", "Se", "P"],
  "fractional_positions": [[0.9964, 0.9964, 0.0000], [0.6813, 0.1813, 0.5000], [0.3039, 0.8039, 0.5000], [0.5184, 0.5184, 0.0000]]
}


(4)
{
  "formula": "RbPaBeN3",
  "functional": "GGA-PBE",
  "state": "relaxed",
  "space_group": "P2_1/m",
  "magmom_total_mub_per_atom": 0.0000,
  "formation_energy_uncorrected_ev_per_atom": -0.834,
  "volume_a3_per_atom": 17.4,
  "density_kg_m3": 5838,
  "energy_ev_per_atom": -7.36,
  "lattice_angstrom": [[3.4725, 0.0000, 0.0000], [0.0000, 8.1002, 0.2082], [0.0000, -2.8770, 7.3586]],
  "species": ["Be", "Be", "N", "N", "N", "N", "N", "N", "Pa", "Pa", "Rb", "Rb"],
  "fractional_positions": [[0.7500, 0.9317, 0.4112], [0.2500, 0.0683, 0.5888], [0.7500, 0.4861, 0.1382], [0.7500, 0.1437, 0.5364], [0.2500, 0.5139, 0.8618], [0.2500, 0.8563, 0.4636], [0.2500, 0.1520, 0.8205], [0.7500, 0.8480, 0.1795], [0.2500, 0.6717, 0.1805], [0.7500, 0.3283, 0.8194], [0.7500, 0.8035, 0.7643], [0.2500, 0.1965, 0.2357]]
}


(5)
{
  "formula": "SrSc3Os",
  "functional": "GGA-PBE",
  "state": "relaxed",
  "space_group": "Pm-3m",
  "e_above_lowest_polymorph_kcal_per_mol_atoms": 0.00,
  "magmom_total_mub_per_atom": 0.0000,
  "volume_a3_per_atom": 27.8,
  "density_kg_m3": 4933,
  "ef_mev_per_atom": -88.6,
  "energy_ev_per_atom": -6.47,
  "lattice_angstrom": [[5.1791, 0.0000, 0.0000], [0.0000, 5.1791, 0.0000], [0.0000, 0.0000, 5.1791]],
  "species": ["Sr", "Os", "Sc", "Sc", "Sc"],
  "fractional_positions": [[0.5000, 0.5000, 0.5000], [0.0000, 0.0000, 0.0000], [0.0000, 0.5000, 0.0000], [0.5000, 0.0000, 0.0000], [0.0000, 0.0000, 0.5000]]
}


(6)
{
  "formula": "TiBOs2",
  "functional": "GGA-PBE",
  "state": "relaxed",
  "space_group": "I-42d",
  "magmom_total_mub_per_atom": 0.0000,
  "volume_a3_per_atom": 14.8,
  "density_kg_m3": 12295,
  "ef_mev_per_atom": 443.2,
  "energy_ev_per_atom": -8.81,
  "lattice_angstrom": [[3.8730, 0.0000, 0.0000], [0.0000, 3.8730, 0.0000], [1.9365, 1.9365, 7.9075]],
  "species": ["Ti", "Ti", "Os", "Os", "Os", "Os", "B", "B"],
  "fractional_positions": [[0.7500, 0.2500, 0.5000], [0.0000, 0.0000, 0.0000], [0.3750, 0.4400, 0.7500], [0.1900, 0.6250, 0.2500], [0.8750, 0.8100, 0.7500], [0.5600, 0.1250, 0.2500], [0.5000, 0.5000, 0.0000], [0.2500, 0.7500, 0.5000]]
}


(7)
{
  "formula": "CrHCl4",
  "functional": "GGA-PBE",
  "state": "relaxed",
  "space_group": "C2/c",
  "magmom_total_mub_per_atom": 0.5000,
  "volume_a3_per_atom": 24.9,
  "density_kg_m3": 2166,
  "energy_ev_per_atom": -4.27,
  "lattice_angstrom": [[6.1015, -0.1727, 0.2278], [0.6070, 5.2427, 2.2370], [-0.0850, -0.6996, 9.0071]],
  "species": ["Cl", "Cl", "Cl", "Cl", "Cl", "Cl", "Cl", "Cl", "H", "H", "Cr", "Cr"],
  "fractional_positions": [[0.3711, 0.0982, 0.7986], [0.0926, 0.8235, 0.4055], [0.4074, 0.2710, 0.4055], [0.1289, 0.6033, 0.7986], [0.6289, 0.9018, 0.2014], [0.8711, 0.3967, 0.2014], [0.5926, 0.7290, 0.5945], [0.9074, 0.1765, 0.5945], [0.7500, 0.6420, 0.2161], [0.2500, 0.3580, 0.7839], [0.7500, 0.0503, 0.3994], [0.2500, 0.9497, 0.6006]]
}


(8)
{
  "formula": "CsSbTe4",
  "functional": "GGA-PBE",
  "state": "relaxed",
  "space_group": "C2/m",
  "magmom_total_mub_per_atom": 0.0000,
  "formation_energy_uncorrected_ev_per_atom": -0.278,
  "volume_a3_per_atom": 45.3,
  "density_kg_m3": 4678,
  "energy_ev_per_atom": -3.20,
  "lattice_angstrom": [[6.5939, 0.0000, 0.1090], [0.0000, 9.1232, 0.0000], [-1.7878, -4.5616, 8.9983]],
  "species": ["Cs", "Cs", "Sb", "Sb", "Te", "Te", "Te", "Te", "Te", "Te", "Te", "Te"],
  "fractional_positions": [[0.7767, 0.8200, 0.6400], [0.2233, 0.1800, 0.3600], [0.2995, 0.5773, 0.1546], [0.7005, 0.4227, 0.8454], [0.0000, 0.7458, 0.0000], [0.0000, 0.2542, 0.0000], [0.2256, 0.7184, 0.4369], [0.6152, 0.8378, 0.1428], [0.3848, 0.1622, 0.8572], [0.7744, 0.2816, 0.5631], [0.3848, 0.6949, 0.8572], [0.6152, 0.3051, 0.1428]]
}